Below is an optimized crystal structure of LiCdFe2I, with properties calculated at the PBE-GGA level.

Properties
E (eV per atom): -3.11
Total magnetization (μB per formula unit): 4.5
Formation energy (no corrections) (eV/f.u.): 5.75
N(E_F) (states/eV per atom): 1.0112
Crystal system: tetragonal
Symmetry: No. 123

Unit cell a=4.723 b=4.723 c=6.432 alpha=90.00 beta=90.00 gamma=90.00
Atoms (fractional coordinates):
Li1 0.000 0.000 0.000
Cd1 0.500 0.500 0.000
Fe1 0.000 0.500 0.500
Fe2 0.500 0.000 0.500
I1 0.500 0.500 0.500